1.
Density functional theory data (PBE) for a relaxed PrAlSiPt6 crystal.

Cell lengths 7.9846, 7.9846, 7.9846 Å; angles 126.01, 113.92, 90.38 degrees
Element x y z (fractional)
Pr  0.4087  0.1587  0.2500
Pr  0.5913  0.8413  0.7500
Al  0.0000  0.0000  0.5000
Al  0.0000  0.5000  0.0000
Si  0.0000  0.5000  0.5000
Si  0.5000  0.5000  0.0000
Pt  0.1124  0.3707  0.2326
Pt  0.1124  0.8797  0.7417
Pt  0.1426  0.8926  0.2500
Pt  0.3356  0.5856  0.7500
Pt  0.3620  0.1203  0.7326
Pt  0.3620  0.6293  0.2417
Pt  0.6380  0.3707  0.7583
Pt  0.6380  0.8797  0.2674
Pt  0.6644  0.4144  0.2500
Pt  0.8574  0.1074  0.7500
Pt  0.8876  0.1203  0.2583
Pt  0.8876  0.6293  0.7674

---

2.
Density functional theory data (PBE) for a relaxed MnHgN crystal.

Cell lengths 3.1294, 5.1239, 6.5316 Å; angles 78.81, 89.82, 73.02 degrees
Element x y z (fractional)
Mn  0.2270  0.0502  0.3544
Mn  0.7730  0.9498  0.6456
Hg  0.1169  0.2850  0.8743
Hg  0.8831  0.7150  0.1257
N  0.3522  0.7849  0.6087
N  0.6478  0.2151  0.3913

---

3.
Density functional theory data (PBE) for a relaxed NdZn2PN crystal.

Cell lengths 5.8658, 5.8658, 7.7572 Å; angles 90.00, 90.00, 143.03 degrees
Element x y z (fractional)
Nd  0.0435  0.9565  0.7500
Nd  0.9565  0.0435  0.2500
Zn  0.3275  0.6725  0.5529
Zn  0.3275  0.6725  0.9471
Zn  0.6725  0.3275  0.0529
Zn  0.6725  0.3275  0.4471
P  0.2351  0.7649  0.2500
P  0.7649  0.2351  0.7500
N  0.5000  0.5000  0.0000
N  0.5000  0.5000  0.5000

---

4.
Density functional theory data (PBE) for a relaxed PuTlAgPt crystal.

## Properties
- Energy of formation: -0.1808 eV per atom

Cell lengths 7.0373, 7.0373, 7.0373 Å; angles 90.00, 90.00, 90.00 degrees
Element x y z (fractional)
Pu  0.0000  0.0000  0.0000
Pu  0.0000  0.5000  0.5000
Pu  0.5000  0.0000  0.5000
Pu  0.5000  0.5000  0.0000
Tl  0.0000  0.0000  0.5000
Tl  0.0000  0.5000  0.0000
Tl  0.5000  0.0000  0.0000
Tl  0.5000  0.5000  0.5000
Ag  0.2500  0.2500  0.2500
Ag  0.2500  0.7500  0.7500
Ag  0.7500  0.2500  0.7500
Ag  0.7500  0.7500  0.2500
Pt  0.2500  0.2500  0.7500
Pt  0.2500  0.7500  0.2500
Pt  0.7500  0.2500  0.2500
Pt  0.7500  0.7500  0.7500

---

5.
Density functional theory data (PBE) for a relaxed TaGaAg3 crystal.

## Properties
- E above lowest polymorph: 0.000 eV/atom
- Energy of formation: 1.0936 eV per atom

Cell lengths 4.6986, 4.6986, 4.6986 Å; angles 90.00, 90.00, 90.00 degrees
Element x y z (fractional)
Ta  0.0000  0.0000  0.0000
Ga  0.5000  0.5000  0.5000
Ag  0.0000  0.5000  0.5000
Ag  0.5000  0.0000  0.5000
Ag  0.5000  0.5000  0.0000

---

6.
Density functional theory data (PBE) for a relaxed Li2TaPt crystal.

## Properties
- E above lowest polymorph: 0.170 eV/atom
- Energy of formation: -0.0897 eV per atom

Cell lengths 2.9525, 4.5568, 9.4369 Å; angles 90.00, 90.00, 90.00 degrees
Element x y z (fractional)
Li  0.0000  0.0000  0.2234
Li  0.0000  0.0000  0.7766
Li  0.5000  0.5000  0.2234
Li  0.5000  0.5000  0.7766
Ta  0.0000  0.5000  0.5000
Ta  0.5000  0.0000  0.5000
Pt  0.0000  0.5000  0.0000
Pt  0.5000  0.0000  0.0000

---

7.
Density functional theory data (PBE) for a relaxed AgPdSe2Br crystal.

## Properties
- E above lowest polymorph: 0.000 eV/atom

Cell lengths 4.9576, 4.9576, 5.2429 Å; angles 90.00, 90.00, 90.00 degrees
Element x y z (fractional)
Ag  0.0000  0.0000  0.0000
Pd  0.5000  0.5000  0.5000
Se  0.0000  0.5000  0.5000
Se  0.5000  0.0000  0.5000
Br  0.5000  0.5000  0.0000

---

8.
Density functional theory data (PBE) for a relaxed Pr6InRh crystal.

## Properties
- Energy of formation: -0.1381 eV per atom

Cell lengths 8.1872, 10.4560, 6.6667 Å; angles 90.00, 105.29, 90.00 degrees
Element x y z (fractional)
Pr  0.1197  0.1916  0.2896
Pr  0.1197  0.8084  0.2896
Pr  0.2143  0.5000  0.1420
Pr  0.2857  0.0000  0.8580
Pr  0.3803  0.3084  0.7104
Pr  0.3803  0.6916  0.7104
Pr  0.6197  0.3084  0.2896
Pr  0.6197  0.6916  0.2896
Pr  0.7143  0.0000  0.1420
Pr  0.7857  0.5000  0.8580
Pr  0.8803  0.1916  0.7104
Pr  0.8803  0.8084  0.7104
In  0.0000  0.5000  0.5000
In  0.5000  0.0000  0.5000
Rh  0.0000  0.0000  0.0000
Rh  0.5000  0.5000  0.0000

---

9.
Density functional theory data (PBE) for a relaxed La9Tb4Nd11 crystal.

## Properties
- Energy of formation: 0.0491 eV per atom

Cell lengths 16.1407, 16.1407, 3.7329 Å; angles 90.00, 90.00, 118.00 degrees
Element x y z (fractional)
La  0.0000  0.0000  0.0000
La  0.1151  0.6719  0.0000
La  0.2956  0.4729  0.0000
La  0.3281  0.8849  0.0000
La  0.4729  0.2956  0.0000
La  0.5271  0.7044  0.0000
La  0.6719  0.1151  0.0000
La  0.7044  0.5271  0.0000
La  0.8849  0.3281  0.0000
Tb  0.0759  0.2652  0.0000
Tb  0.2652  0.0759  0.0000
Tb  0.7348  0.9241  0.0000
Tb  0.9241  0.7348  0.0000
Nd  0.0985  0.4644  0.5000
Nd  0.1223  0.8777  0.5000
Nd  0.2522  0.2522  0.5000
Nd  0.3199  0.6801  0.5000
Nd  0.4644  0.0985  0.5000
Nd  0.5000  0.5000  0.5000
Nd  0.5356  0.9015  0.5000
Nd  0.6801  0.3199  0.5000
Nd  0.7478  0.7478  0.5000
Nd  0.8777  0.1223  0.5000
Nd  0.9015  0.5356  0.5000

---

10.
Density functional theory data (PBE) for a relaxed CsCdSb2Te crystal.

## Properties
- E above lowest polymorph: 1.127 eV/atom

Cell lengths 6.4267, 6.4267, 6.5083 Å; angles 90.00, 90.00, 90.00 degrees
Element x y z (fractional)
Cs  0.0000  0.0000  0.0000
Cd  0.5000  0.5000  0.5000
Sb  0.0000  0.5000  0.0000
Sb  0.5000  0.0000  0.0000
Te  0.0000  0.0000  0.5000

---

11.
Density functional theory data (PBE) for a relaxed CaRu2 crystal.

## Properties
- Energy of formation: 0.1846 eV per atom

Cell lengths 10.5610, 5.0885, 4.4536 Å; angles 90.00, 90.00, 90.00 degrees
Element x y z (fractional)
Ca  0.0000  0.2419  0.2500
Ca  0.0000  0.7581  0.7500
Ca  0.5000  0.2581  0.7500
Ca  0.5000  0.7419  0.2500
Ru  0.2218  0.3513  0.7500
Ru  0.2218  0.6487  0.2500
Ru  0.2782  0.1487  0.2500
Ru  0.2782  0.8513  0.7500
Ru  0.7218  0.1487  0.2500
Ru  0.7218  0.8513  0.7500
Ru  0.7782  0.3513  0.7500
Ru  0.7782  0.6487  0.2500

---

12.
Density functional theory data (PBE) for a relaxed La2CrCo crystal.

## Properties
- E above lowest polymorph: 0.221 eV/atom
- Energy of formation: 0.4238 eV per atom

Cell lengths 7.0365, 7.0365, 7.0365 Å; angles 90.00, 90.00, 90.00 degrees
Element x y z (fractional)
La  0.0000  0.0000  0.0000
La  0.0000  0.5000  0.5000
La  0.2500  0.2500  0.2500
La  0.2500  0.7500  0.7500
La  0.5000  0.0000  0.5000
La  0.5000  0.5000  0.0000
La  0.7500  0.2500  0.7500
La  0.7500  0.7500  0.2500
Cr  0.0000  0.0000  0.5000
Cr  0.0000  0.5000  0.0000
Cr  0.5000  0.0000  0.0000
Cr  0.5000  0.5000  0.5000
Co  0.2500  0.2500  0.7500
Co  0.2500  0.7500  0.2500
Co  0.7500  0.2500  0.2500
Co  0.7500  0.7500  0.7500

---

Number 1: E -0.2265 hartree per atom. Number 2: E -0.2106 hartree per atom. Number 3: E -0.1745 hartree per atom. Number 4: E -0.2418 hartree per atom. Number 5: E -0.1320 hartree per atom. Number 6: E -0.2029 hartree per atom. Number 7: E -0.1105 hartree per atom. Number 8: E -0.1832 hartree per atom. Number 9: E -0.1748 hartree per atom. Number 10: E -0.0505 hartree per atom. Number 11: E -0.2450 hartree per atom. Number 12: E -0.2287 hartree per atom.